No. 1
Li2Pr2YIn5 | PBE | relaxed

## Properties
formation energy = -436 meV/atom
DOS at the Fermi energy = 5.4 states/eV/f.u.
total magnetization = 0.00 μB/cell

a b c (Å): 10.3940 10.3940 4.5517
angles (deg): 90.00 90.00 90.00
Closest atoms and distances in Å follow each position.
Fractional coordinates of all 20 atoms:
Li (0.1162, 0.3838, 0.0000)  6 In 2.85-2.94, 3 Pr 3.02-3.13
Li (0.3838, 0.8838, 0.0000)  6 In 2.85-2.94, 3 Pr 3.02-3.13
Li (0.6162, 0.1162, 0.0000)  6 In 2.85-2.94, 3 Pr 3.02-3.13
Li (0.8838, 0.6162, 0.0000)  6 In 2.85-2.94, 3 Pr 3.02-3.13
Pr (0.1781, 0.6781, 0.0000)  3 Li 3.02-3.13
Pr (0.3219, 0.1781, 0.0000)  3 Li 3.02-3.13
Pr (0.6781, 0.8219, 0.0000)  3 Li 3.02-3.13
Pr (0.8219, 0.3219, 0.0000)  3 Li 3.02-3.13
Y (0.0000, 0.0000, 0.0000)  8 In 3.24
Y (0.5000, 0.5000, 0.0000)  8 In 3.24
In (0.0000, 0.5000, 0.5000)  4 Li 2.85, 4 In 3.08
In (0.0675, 0.2115, 0.5000)  2 Li 2.94, 4 In 3.08-3.26, 2 Y 3.24
In (0.2115, 0.9325, 0.5000)  2 Li 2.94, 4 In 3.08-3.26, 2 Y 3.24
In (0.2885, 0.4325, 0.5000)  2 Li 2.94, 4 In 3.08-3.26, 2 Y 3.24
In (0.4325, 0.7115, 0.5000)  2 Li 2.94, 4 In 3.08-3.26, 2 Y 3.24
In (0.5000, 0.0000, 0.5000)  4 Li 2.85, 4 In 3.08
In (0.5675, 0.2885, 0.5000)  2 Li 2.94, 4 In 3.08-3.26, 2 Y 3.24
In (0.7115, 0.5675, 0.5000)  2 Li 2.94, 4 In 3.08-3.26, 2 Y 3.24
In (0.7885, 0.0675, 0.5000)  2 Li 2.94, 4 In 3.08-3.26, 2 Y 3.24
In (0.9325, 0.7885, 0.5000)  2 Li 2.94, 4 In 3.08-3.26, 2 Y 3.24



No. 2
Li2InPt | PBE | relaxed

## Properties
formation energy = -253 meV/atom
DOS at the Fermi energy = 3.2 states/eV/f.u.
total magnetization = 0.00 μB/cell

a b c (Å): 9.0946 9.0946 9.0946
angles (deg): 18.85 18.85 18.85
Closest atoms and distances in Å follow each position.
Fractional coordinates of all 4 atoms:
Li (0.2406, 0.2406, 0.2406)  3 Pt 2.62
Li (0.7594, 0.7594, 0.7594)  3 Pt 2.62
In (0.0000, 0.0000, 0.0000)  6 In 2.98, 6 Li 3.02
Pt (0.5000, 0.5000, 0.5000)  6 Li 2.62